Here is crystalline Ca2TaSb at its relaxed geometry from the Alexandria database. Energies are from GGA-PBE.

Calculated values
- SG: No. 122
- Total moment: 1.3 μB per formula unit
- Energy: -4.45 eV per atom

Cell: 8.652 8.652 6.790 Å, 50.42 50.42 90.00°
Positions (direct):
Ca  0.375  0.388  0.750
Sb  0.250  0.750  0.500
Ta  0.750  0.250  0.500
Sb  0.500  0.500  0.000
Ta  0.000  0.000  0.000
Ca  0.612  0.125  0.250
Ca  0.875  0.862  0.750
Ca  0.138  0.625  0.250

Here is crystalline Tm2PuIn at its relaxed geometry from the Alexandria database. Energies are from GGA-PBE.

Calculated values
- Polymorph energy (0 for the lowest one): 0 meV/atom
- SG: No. 123
- Total moment: 5.9 μB per formula unit
- ΔE_f: -0.148 eV per atom
- Energy: -6.65 eV per atom

Cell: 3.454 3.454 9.094 Å, 90.00 90.00 90.00°
Positions (direct):
Pu  0.500  0.500  0.500
Tm  0.000  0.000  0.765
Tm  0.000  0.000  0.235
In  0.500  0.500  0.000

Here is crystalline LaZr5 at its relaxed geometry from the Alexandria database. Energies are from GGA-PBE.

Calculated values
- SG: No. 65
- Total moment: 0.0 μB per formula unit
- ΔE_f: 0.124 eV per atom
- Energy: -7.82 eV per atom

Cell: 4.642 4.606 7.292 Å, 108.41 90.00 90.00°
Positions (direct):
Zr  0.500  0.829  0.657
Zr  0.500  0.171  0.343
La  0.000  0.000  0.000
Zr  0.500  0.500  0.000
Zr  0.000  0.329  0.658
Zr  0.000  0.671  0.342

Here is crystalline Y2PdPb at its relaxed geometry from the Alexandria database. Energies are from GGA-PBE.

Calculated values
- SG: No. 71
- Total moment: 0.0 μB per formula unit
- ΔE_f: -0.076 eV per atom
- Energy: -5.53 eV per atom

Cell: 8.258 8.258 8.258 Å, 39.14 152.55 152.65°
Positions (direct):
Y  0.000  0.823  0.823
Pb  0.000  0.500  0.500
Y  0.000  0.177  0.177
Pd  0.000  0.000  0.000

Here is crystalline LaAlGe2Pd at its relaxed geometry from the Alexandria database. Energies are from GGA-PBE.

Calculated values
- Polymorph energy (0 for the lowest one): 0 meV/atom
- SG: No. 119
- Total moment: 0.0 μB per formula unit
- ΔE_f: -0.709 eV per atom
- Energy: -5.33 eV per atom

Cell: 4.200 4.200 6.375 Å, 109.23 109.23 90.00°
Positions (direct):
Ge  0.385  0.385  0.770
Ge  0.615  0.615  0.230
La  0.000  0.000  0.000
Pd  0.750  0.250  0.500
Al  0.250  0.750  0.500

Here is crystalline TbPm6Pr2Nd at its relaxed geometry from the Alexandria database. Energies are from GGA-PBE.

Calculated values
- SG: No. 15
- Total moment: 0.0 μB per formula unit
- ΔE_f: 0.116 eV per atom
- Energy: -4.63 eV per atom

Cell: 10.017 8.951 8.951 Å, 118.17 94.89 94.89°
Positions (direct):
Pm  0.121  0.706  0.501
Pr  0.459  0.812  0.710
Nd  0.750  0.595  0.405
Pr  0.959  0.710  0.812
Pm  0.621  0.501  0.706
Pm  0.379  0.499  0.294
Pm  0.056  0.121  0.745
Pm  0.879  0.294  0.499
Pm  0.944  0.879  0.255
Pr  0.541  0.188  0.290
Pr  0.041  0.290  0.188
Tb  0.750  0.016  0.984
Pm  0.812  0.422  0.977
Tb  0.250  0.984  0.016
Pm  0.312  0.977  0.422
Nd  0.250  0.405  0.595
Pm  0.556  0.745  0.121
Pm  0.188  0.578  0.023
Pm  0.688  0.023  0.578
Pm  0.444  0.255  0.879